1.
Compound: CdSb2
Source: Alexandria via LeMat-Bulk
Functional: PBE-GGA
Structure: relaxed

The size of the total moment comes out at 0.00 μB per formula unit. The calculation puts the total DFT energy (no corrections) at -0.1104 hartree per atom. As for the crystal system: trigonal. The value obtained for the uncorrected formation energy is 0.15 eV/f.u.

The structure belongs to space group P-3m1 (No. 164); the cell edges are 4.2712, 4.2712 and 5.5116 Å and the angles 90.00°, 90.00° and 120.00°. The asymmetric unit holds Cd at (0.0000, 0.0000, 0.0000) and Sb at (0.3333, 0.6667, 0.3419).

2.
Compound: SrFe3Br
Source: Alexandria via LeMat-Bulk
Functional: PBE-GGA
Structure: relaxed

As for the energy relative to the lowest polymorph listed for this composition: 1.2049 eV/atom. The size of the total moment comes out at 10.61 μB per formula unit. The calculation puts the total DFT energy (no corrections) at -0.1331 hartree per atom. As for the crystal system: cubic. The value obtained for the uncorrected formation energy is 10.63 eV/f.u.

The structure belongs to space group Pm-3m (No. 221); the cell edges are 5.3616, 5.3616 and 5.3616 Å and the angles 90.00°, 90.00° and 90.00°. The asymmetric unit holds Sr at (0.0000, 0.0000, 0.0000), Fe at (0.0000, 0.0000, 0.5000) and Br at (0.5000, 0.5000, 0.5000).

3.
Compound: Si3Te
Source: Alexandria via LeMat-Bulk
Functional: PBE-GGA
Structure: relaxed

As for the energy relative to the lowest polymorph listed for this composition: 0.4378 eV/atom. The size of the total moment comes out at 0.00 μB per formula unit. The calculation puts the total DFT energy (no corrections) at -0.1520 hartree per atom. As for the crystal system: tetragonal. The value obtained for the uncorrected formation energy is 2.86 eV/f.u.

The structure belongs to space group I4/mmm (No. 139); the cell edges are 3.8535, 3.8535 and 10.6316 Å and the angles 90.00°, 90.00° and 90.00°. The asymmetric unit holds Si at (0.0000, 0.0000, 0.0000), Si at (0.0000, 0.5000, 0.2500) and Te at (0.0000, 0.0000, 0.5000).

4.
Compound: Te3C
Source: Alexandria via LeMat-Bulk
Functional: PBE-GGA
Structure: relaxed

As for the energy relative to the lowest polymorph listed for this composition: 0.4272 eV/atom. The size of the total moment comes out at 0.00 μB per formula unit. The calculation puts the total DFT energy (no corrections) at -0.1261 hartree per atom. As for the crystal system: hexagonal. The value obtained for the uncorrected formation energy is 4.93 eV/f.u.

The structure belongs to space group P6_3/mmc (No. 194); the cell edges are 7.8832, 7.8832 and 3.6817 Å and the angles 90.00°, 90.00° and 120.00°. The asymmetric unit holds Te at (0.1985, 0.3970, 0.2500) and C at (0.3333, 0.6667, 0.7500).

Question: Look up the total DFT energy (no corrections) of the fourth one.
Answer: -0.1261 hartree per atom

Repeat the fourth record exactly.
Compound: Te3C
Source: Alexandria via LeMat-Bulk
Functional: PBE-GGA
Structure: relaxed

As for the energy relative to the lowest polymorph listed for this composition: 0.4272 eV/atom. The size of the total moment comes out at 0.00 μB per formula unit. The calculation puts the total DFT energy (no corrections) at -0.1261 hartree per atom. As for the crystal system: hexagonal. The value obtained for the uncorrected formation energy is 4.93 eV/f.u.

The structure belongs to space group P6_3/mmc (No. 194); the cell edges are 7.8832, 7.8832 and 3.6817 Å and the angles 90.00°, 90.00° and 120.00°. The asymmetric unit holds Te at (0.1985, 0.3970, 0.2500) and C at (0.3333, 0.6667, 0.7500).

Question: Which of these has the highest total DFT energy (no corrections)?
Answer: CdSb2